The following is a DFT calculation (GGA-PBE) of Sr2CaMgIr after structural relaxation.

## Properties
* volume: 180.2 Å³/f.u.
* distance to the lowest polymorph of the same formula: 0.049 eV per atom
* formation energy: -0.2 eV/f.u.
* spin magnetization: 0.0 Bohr magnetons per cell
* uncorrected energy: -3.21 eV/atom

Cell lengths 5.8401, 5.8401, 5.2835 Å; angles 90.00, 90.00, 90.00 degrees
Space group P4/mmm (No. 123)
Asymmetric unit:
Sr 0.0000 0.5000 0.0000 (multiplicity 2)
Ca 0.0000 0.0000 0.5000 (multiplicity 1)
Mg 0.5000 0.5000 0.5000 (multiplicity 1)
Ir 0.5000 0.5000 0.0000 (multiplicity 1)